Density functional theory data (GGA-PBE) for LiThPd4 after structural relaxation.

Summary:
Its space group is Cmc2_1 (36). Its formation energy is -594 meV/atom. The density of states at the Fermi level is 0.36 states/eV per atom. The calculation puts the polymorph energy (0 for the lowest one) at 0.056 eV per atom. For the electronic total energy, the calculation gives -33.67 eV/f.u.

a = 4.0027 Å, b = 6.7758 Å, c = 8.1884 Å
α = 90.00°, β = 104.15°, γ = 90.00°
Closest atoms and distances in Å follow each position.
Fractional positions:
Li 0.6775 0.8561 0.3550  4 Pd 2.42-2.63
Li 0.3225 0.3561 0.6450  4 Pd 2.42-2.63
Th 0.8923 0.7157 0.7846  7 Pd 2.86-3.03
Th 0.1077 0.2157 0.2154  7 Pd 2.86-3.03
Pd 0.9277 0.2138 0.8554  2 Li 2.78, 7 Pd 2.84-2.90, 1 Th 2.86
Pd 0.0723 0.7138 0.1446  2 Li 2.78, 7 Pd 2.84-2.90, 1 Th 2.86
Pd 0.5147 0.9799 0.0294  1 Li 2.72, 5 Pd 2.77-2.90, 2 Th 2.96
Pd 0.4853 0.4799 0.9706  1 Li 2.72, 5 Pd 2.77-2.90, 2 Th 2.96
Pd 0.6593 0.4972 0.3186  1 Li 2.45, 3 Pd 2.64-2.74
Pd 0.3407 0.9972 0.6814  1 Li 2.45, 3 Pd 2.64-2.74
Pd 0.7496 0.1708 0.4992  3 Li 2.42-2.63, 1 Pd 2.64
Pd 0.2504 0.6708 0.5008  3 Li 2.42-2.63, 1 Pd 2.64